# TlCoBi2O6 (PBE+U, relaxed)
# **Total energy**: -5.421 eV per atom
# **Total magnetization**: 0.0 μB/cell
data_TlCoBi2O6
_chemical_formula_sum 'Tl1 Co1 Bi2 O6'
_space_group_name_H-M_alt 'P 1'
_space_group_IT_number 1
_cell_length_a 5.781
_cell_length_b 5.782
_cell_length_c 5.804
_cell_angle_alpha 60.12
_cell_angle_beta 60.13
_cell_angle_gamma 59.99
loop_
_space_group_symop_operation_xyz
'x,y,z'
loop_
_atom_site_label
_atom_site_type_symbol
_atom_site_fract_x
_atom_site_fract_y
_atom_site_fract_z
Tl1 Tl 0.801 0.801 0.597
Co1 Co 0.320 0.320 0.040
Bi1 Bi 0.535 0.535 0.394
Bi2 Bi 0.027 0.027 0.918
O1 O 0.585 0.174 0.246
O2 O 0.174 0.995 0.246
O3 O 0.995 0.585 0.246
O4 O 0.447 0.643 0.776
O5 O 0.643 0.133 0.776
O6 O 0.134 0.447 0.776